1.
First-principles (PBE) data for MnRePd2 after structural relaxation, as listed in Alexandria.

Properties
ΔH_f (0 K)   0.61 eV/atom
VASP energy   -7.3884 eV/atom
ΔE to the lowest computed polymorph   0.0 kJ/mol of atoms

Lattice parameters (Å, degrees): 3.6391 3.6391 18.1980 90.00 90.00 90.00
Closest atoms and distances in Å follow each position.
Space group I-42d (No. 122)
Inequivalent atoms, fractional coordinates:
Mn  0.0000  0.0000  0.0000 (multiplicity 4)  4 Re 2.57, 4 Pd 2.61
Re  0.0000  0.0000  0.5000 (multiplicity 4)  4 Mn 2.57, 4 Pd 2.62
Pd  0.2453  0.2500  0.1250 (multiplicity 8)  4 Pd 2.55-2.60, 2 Mn 2.61, 2 Re 2.62

2.
First-principles (PBE) data for Cd5Os3 after structural relaxation, as listed in Alexandria.

Properties
ΔH_f (0 K)   0.76 eV/atom
VASP energy   -4.0252 eV/atom

Lattice parameters (Å, degrees): 8.5165 8.5165 4.9433 90.00 90.00 120.00
Closest atoms and distances in Å follow each position.
Space group P6_3/mcm (No. 193)
Inequivalent atoms, fractional coordinates:
Cd  0.0000  0.2278  0.2500 (multiplicity 6)  3 Os 2.83-3.06, 4 Cd 3.14
Cd  0.3333  0.6667  0.0000 (multiplicity 4)  2 Cd 2.47
Os  0.0000  0.4404  0.7500 (multiplicity 6)  2 Os 2.67, 5 Cd 2.80-2.83

Number 2 is which compound?
Cd5Os3

ΔH_f (0 K) of number 2 (Cd5Os3)?
0.76 eV/atom

The highest ΔH_f (0 K) belongs to which entry?
Cd5Os3